[1]
GdTlFeTe3 | the Open Quantum Materials Database | PBE | optimized geometry; energy relative to the lowest polymorph listed for this composition = 26 meV per atom; space-group type = Cmcm, No. 63
1.0
7.8847 -2.1584 0.0000
7.8847 2.1584 0.0000
0.0000 0.0000 11.4346
Gd Te Tl Fe
2 6 2 2
direct
0.0000 0.0000 0.5000
0.0000 0.0000 0.0000
0.3676 0.3676 0.4316
0.0731 0.0731 0.2500
0.3676 0.3676 0.0684
0.6324 0.6324 0.5684
0.9269 0.9269 0.7500
0.6324 0.6324 0.9316
0.7551 0.7551 0.2500
0.2449 0.2449 0.7500
0.4698 0.4698 0.2500
0.5302 0.5302 0.7500

---

[2]
GdTlFeTe3 | the Open Quantum Materials Database | PBE | optimized geometry; energy relative to the lowest polymorph listed for this composition = 0 meV per atom; space-group type = P2_1/m, No. 11
1.0
-9.0694 -3.9269 -0.4747
0.1007 -0.7383 4.1830
-0.9395 9.8344 1.7585
Te Gd Fe Tl
6 2 2 2
direct
0.2111 0.7500 0.5216
0.9003 0.7500 0.1501
0.0997 0.2500 0.8499
0.7889 0.2500 0.4784
0.4555 0.7500 0.1750
0.5445 0.2500 0.8250
0.6711 0.2500 0.1472
0.3289 0.7500 0.8528
0.0669 0.2500 0.5767
0.9331 0.7500 0.4233
0.7979 0.7500 0.7833
0.2021 0.2500 0.2167

---

[3]
Gd3Tm3FeTe2 | the Open Quantum Materials Database | PBE | optimized geometry; energy relative to the lowest polymorph listed for this composition = 0 meV per atom; space-group type = P-62m, No. 189
1.0
8.2595 0.0000 0.0000
-4.1298 7.1530 0.0000
0.0000 0.0000 3.9836
Gd Te Tm Fe
3 2 3 1
direct
0.0000 0.3934 0.0000
0.6066 0.6066 0.0000
0.3934 0.0000 0.0000
0.6667 0.3333 0.5000
0.3333 0.6667 0.5000
0.0000 0.7686 0.5000
0.7686 0.0000 0.5000
0.2314 0.2314 0.5000
0.0000 0.0000 0.0000

---

[4]
Gd3Tm3FeTe2 | the Open Quantum Materials Database | PBE | optimized geometry; energy relative to the lowest polymorph listed for this composition = 82 meV per atom; space-group type = P-62m, No. 189
1.0
8.3283 0.0000 0.0000
-4.1642 7.2125 0.0000
0.0000 0.0000 3.9292
Tm Gd Te Fe
3 3 2 1
direct
0.0000 0.3939 0.0000
0.6061 0.6061 0.0000
0.3939 0.0000 0.0000
0.2383 0.2383 0.5000
0.0000 0.7617 0.5000
0.7617 0.0000 0.5000
0.3333 0.6667 0.5000
0.6667 0.3333 0.5000
0.0000 0.0000 0.0000

---

[5]
GdThFe | the Open Quantum Materials Database | PBE | optimized geometry; ΔE_f = 0.1506 eV per atom; energy relative to the lowest polymorph listed for this composition = 0 meV per atom; space-group type = F-43m, No. 216
1.0
0.0000 3.3570 3.3570
3.3570 0.0000 3.3570
3.3570 3.3570 0.0000
Th Gd Fe
1 1 1
direct
0.7500 0.7500 0.7500
0.2500 0.2500 0.2500
0.0000 0.0000 0.0000

---

[6]
GdTmTlFe2 | the Open Quantum Materials Database | PBE | optimized geometry; energy = -5.77 eV per atom; space-group type = Amm2, No. 38
1.0
-0.6550 1.6029 3.4774
-2.8283 -6.2746 2.3595
0.8869 -6.4934 3.1602
Tm Fe Gd Tl
1 2 1 1
direct
0.0000 0.3606 0.3606
0.5000 0.7917 0.7917
0.5000 0.2122 0.2122
0.0000 0.6377 0.6377
0.5000 0.9978 0.9978

---

[7]
GdTmFe2 | the Open Quantum Materials Database | PBE | optimized geometry; ΔE_f = -0.0216 eV per atom; space-group type = Pmc2_1, No. 26
1.0
-1.5360 -1.8690 -2.9459
-2.2401 -3.6219 3.4660
-6.3145 4.3905 0.5069
Tm Fe Gd
2 4 2
direct
0.0000 0.8573 0.8216
0.0000 0.1427 0.3216
0.5000 0.8350 0.5271
0.0000 0.3171 0.9755
0.0000 0.6829 0.4755
0.5000 0.1650 0.0271
0.5000 0.3572 0.6758
0.5000 0.6428 0.1758

---

[8]
GdTmFe | the Open Quantum Materials Database | PBE | optimized geometry; ΔE_f = 0.1990 eV per atom; energy relative to the lowest polymorph listed for this composition = 0 meV per atom; space-group type = F-43m, No. 216
1.0
-0.0360 0.5674 4.6142
-0.5936 4.2383 1.8163
-3.9667 1.0597 2.1809
Tm Fe Gd
1 1 1
direct
0.7500 0.7500 0.7500
0.0000 0.0000 0.0000
0.2500 0.2500 0.2500

---

Q: Number 1 is which compound?
A: GdTlFeTe3